TaCrGa3 | PBE | relaxed

Summary:
- Raw total energy: -5.222 eV/atom
- ΔH_f (0 K): 0.89 eV per atom
- Space group: Pm-3m

Structure (POSCAR):
```
TaCrGa3
1.0
-1.110 -4.289 0.834
4.158 -0.772 1.562
-1.343 1.153 4.146
Cr Ga Ta
1 3 1
direct
0.000 0.000 0.000
0.000 0.500 0.000
0.000 0.000 0.500
0.500 0.000 0.000
0.500 0.500 0.500
```